Below is a relaxed structure of Hf5Zr3, with properties calculated at the GGA-PBE level.

Cell and atoms, written as POSCAR:
```
Hf5Zr3
1.0
-6.2404 -5.9556 -2.2547
2.0598 -3.9007 4.6024
-4.0605 2.7000 4.1066
Hf Zr
10 6
Cartesian
2.0402 -3.8796 4.6008
0.0350 -2.5481 6.6337
-5.1924 -4.7784 0.4822
-2.0484 -1.7778 1.6182
1.0252 -1.9538 2.3233
-4.1010 -3.5993 3.2287
-4.1654 -6.7311 2.7821
-1.0159 -3.7253 3.9201
-6.1926 -5.3787 4.8361
-3.0485 -2.3781 5.9720
-1.0782 -6.8594 3.4736
-3.0836 -5.5243 5.4978
-7.2175 -3.4238 2.5370
-4.0833 -0.4326 3.6694
-2.0973 -4.9324 1.2044
-0.9832 -0.6188 4.3559
```

polymorph energy (0 for the lowest one)	63.6	meV per atom



Below is a relaxed structure of HfZr, with properties calculated at the GGA-PBE level.

Cell and atoms, written as POSCAR:
```
HfZr
1.0
5.7480 0.0000 0.0000
0.0000 5.7480 0.0000
0.0000 0.0000 5.9468
Hf Zr
4 4
Cartesian
4.7260 4.7260 0.0000
1.8520 3.8960 2.9734
3.8960 1.8520 2.9734
1.0220 1.0220 0.0000
3.9043 1.8437 0.0000
1.0303 1.0303 2.9734
4.7176 4.7176 2.9734
1.8437 3.9043 0.0000
```

polymorph energy (0 for the lowest one)	646.5	meV per atom



Below is a relaxed structure of Hf2Zr7, with properties calculated at the GGA-PBE level.

Cell and atoms, written as POSCAR:
```
Hf2Zr7
1.0
3.1417 0.0000 0.0000
0.0000 7.5671 -4.3689
0.0000 0.0000 8.7377
Hf Zr
2 7
Cartesian
0.0000 5.0447 0.0000
0.0000 2.5224 4.3689
1.5709 4.9182 -2.8395
1.5708 0.0000 5.6790
1.5709 2.6489 1.5293
0.0000 2.4102 -1.3915
0.0000 0.0000 2.7830
0.0000 5.1569 2.9773
1.5709 0.0000 0.0000
```



Below is a relaxed structure of Hf13Zr3, with properties calculated at the GGA-PBE level.

Cell and atoms, written as POSCAR:
```
Hf13Zr3
1.0
6.3615 0.0104 0.0000
-0.0123 6.3615 0.0000
0.0000 0.0000 8.9010
Hf Zr
13 3
Cartesian
3.1584 6.3566 2.2337
3.1643 3.1962 2.2354
0.0039 3.1909 2.2337
4.7426 4.7592 0.0000
1.6069 1.6123 0.0000
1.6023 4.7527 0.0000
3.1584 6.3566 6.6674
3.1643 3.1962 6.6656
0.0039 3.1909 6.6674
4.7485 1.6176 4.4505
4.7431 4.7597 4.4505
1.6064 1.6119 4.4505
1.5994 4.7555 4.4505
-0.0018 6.3510 2.2304
4.7472 1.6190 0.0000
-0.0018 6.3510 6.6706
```



Below is a relaxed structure of Hf5Zr3, with properties calculated at the GGA-PBE level.

Cell and atoms, written as POSCAR:
```
Hf5Zr3
1.0
3.2126 0.0000 0.0000
0.0000 5.0875 0.0000
0.0000 0.0000 11.1471
Hf Zr
5 3
Cartesian
0.0000 0.0000 10.7187
1.6063 0.0000 2.3263
0.0000 0.0000 5.0753
1.6063 2.5437 0.4884
0.0000 2.5437 3.2246
1.6063 0.0000 7.8896
1.6063 2.5437 6.0078
0.0000 2.5437 8.8577
```

polymorph energy (0 for the lowest one)	0.0	meV per atom



Below is a relaxed structure of HfZr, with properties calculated at the GGA-PBE level.

Cell and atoms, written as POSCAR:
```
HfZr
1.0
-5.1442 -5.5722 4.0554
6.3309 -5.8205 0.0332
2.7233 3.0052 7.5836
Hf Zr
8 8
Cartesian
1.4985 -3.2146 4.4736
3.6123 -3.8719 6.2518
0.9333 -3.8139 7.1909
1.7756 -5.8744 5.4281
3.4535 -7.4084 10.3097
-3.4868 -5.2504 4.4712
5.3092 -5.4407 1.3879
2.5439 1.3245 7.1757
0.8040 -1.7248 2.4003
6.1343 -3.3822 6.8844
-0.6212 -3.2360 9.2524
1.5026 -8.4319 4.8073
2.7590 -5.9186 8.2364
-0.9649 -4.7607 5.1037
3.7547 -4.8628 3.4494
2.2709 -1.2329 6.5548
```

polymorph energy (0 for the lowest one)	1942.0	meV per atom



Below is a relaxed structure of HfZr, with properties calculated at the GGA-PBE level.

Cell and atoms, written as POSCAR:
```
HfZr
1.0
3.2149 0.0000 0.0000
-1.6075 2.7842 0.0000
0.0000 0.0000 5.1104
Hf Zr
1 1
Cartesian
0.0000 0.0000 0.0000
0.0000 1.8561 2.5552
```

polymorph energy (0 for the lowest one)	3.6	meV per atom



Below is a relaxed structure of Hf5Zr6, with properties calculated at the GGA-PBE level.

Cell and atoms, written as POSCAR:
```
Hf5Zr6
1.0
4.6008 -0.8382 -1.3209
-2.0582 7.5411 -3.0079
-0.3455 -0.9076 8.3192
Hf Zr
5 6
Cartesian
1.0985 2.8976 1.9952
-1.4692 4.6356 0.8875
-0.9345 1.9979 4.4238
0.5932 5.3901 -1.3465
1.6038 0.4052 5.3368
2.7633 0.8050 0.1826
-0.5663 4.9903 3.8078
1.9907 3.4388 4.7600
0.6844 -0.0014 2.3916
0.2064 2.3565 -0.7697
1.5127 5.7967 1.5988
```

polymorph energy (0 for the lowest one)	0.0	meV per atom



Below is a relaxed structure of Hf5Zr, with properties calculated at the GGA-PBE level.

Cell and atoms, written as POSCAR:
```
Hf5Zr
1.0
4.4538 0.0000 0.0000
0.0000 4.4890 0.0000
0.0000 -2.2445 6.7686
Hf Zr
5 1
Cartesian
2.2269 2.2445 4.4934
0.0000 2.2445 2.2801
2.2269 2.2445 0.0000
0.0000 0.0000 4.4885
2.2269 0.0000 2.2752
0.0000 0.0000 0.0000
```



Below is a relaxed structure of HfZr, with properties calculated at the GGA-PBE level.

Cell and atoms, written as POSCAR:
```
HfZr
1.0
-3.1707 0.0616 0.3276
0.2509 -1.6215 2.7336
0.3091 3.8666 2.2653
Hf Zr
1 1
Cartesian
0.0000 0.0000 0.0000
-1.3054 1.1534 2.6632
```

polymorph energy (0 for the lowest one)	67.1	meV per atom



Below is a relaxed structure of Hf4Zr5, with properties calculated at the GGA-PBE level.

Cell and atoms, written as POSCAR:
```
Hf4Zr5
1.0
4.4923 -0.0002 -0.0002
2.2404 6.7537 -0.4475
2.2404 0.4459 6.7538
Hf Zr
4 5
Cartesian
4.4841 4.8002 4.2091
2.2437 0.1535 2.2511
6.7294 4.9476 6.4504
4.4890 2.3948 2.1021
2.2404 6.7332 -0.4241
2.2404 2.5690 4.3300
2.2404 4.6511 1.9529
2.2459 2.2748 -0.1285
6.7272 7.0271 4.0342
```



Below is a relaxed structure of HfZr8, with properties calculated at the GGA-PBE level.

Cell and atoms, written as POSCAR:
```
HfZr8
1.0
4.5219 0.0000 0.0000
2.2609 6.7865 0.0000
2.2609 0.0000 6.7865
Hf Zr
1 8
Cartesian
0.0000 0.0000 0.0000
2.2609 0.0000 2.2425
4.5219 0.0000 4.5440
4.5219 4.5440 0.0000
2.2609 4.5321 2.2544
4.5219 4.5321 4.5321
4.5219 2.2544 2.2544
2.2609 2.2544 4.5321
2.2609 2.2425 0.0000
```



| no. | energy of formation from the pure elements (eV per atom) |
| --- | --- |
| 1 | 0.061 |
| 2 | 0.641 |
| 3 | 0.024 |
| 4 | 0.067 |
| 5 | -0.002 |
| 6 | 1.937 |
| 7 | -0.002 |
| 8 | 0.096 |
| 9 | 0.065 |
| 10 | 0.062 |
| 11 | 0.053 |
| 12 | 0.044 |